1.
Density functional theory data (GGA-PBE) for a relaxed structure of AlPb4Se6.

The structure belongs to space group Cc (No. 9); the cell edges are 15.3489, 7.8476 and 13.6851 Å and the angles 90.00°, 118.08° and 90.00°. Symmetry generates all atoms from Al at (0.0000, 0.2243, 0.0000), Pb at (0.0348, 0.3234, 0.5923), Pb at (0.2245, 0.4672, 0.9269), Pb at (0.2709, 0.1035, 0.2362), Pb at (0.4242, 0.3414, 0.7415), Se at (0.0196, 0.4634, 0.8993), Se at (0.0574, 0.0370, 0.4616), Se at (0.0907, 0.2766, 0.1957), Se at (0.2387, 0.2625, 0.7660), Se at (0.3319, 0.2158, 0.4599) and Se at (0.3676, 0.3324, 0.1332).

As for the total energy: -4.113 eV/atom. As for the magnetization: 0.00 μB per formula unit. Its uncorrected formation energy is -5.763 eV per formula unit.

2.
Density functional theory data (GGA-PBE) for a relaxed structure of AlPbSe.

The structure belongs to space group P3m1 (No. 156); the cell edges are 3.6625, 3.6625 and 6.5882 Å and the angles 90.00°, 90.00° and 120.00°. Symmetry generates all atoms from Al at (0.0000, 0.0000, 0.0000), Pb at (0.3333, 0.6667, 0.3654) and Se at (0.6667, 0.3333, 0.7991).

As for the total energy: -3.919 eV/atom. For the offset from the most stable computed form, the calculation gives 45.3 meV per atom. As for the magnetization: 0.00 μB per formula unit. Its uncorrected formation energy is -0.823 eV per formula unit.

3.
Density functional theory data (GGA-PBE) for a relaxed structure of AlPb2Se.

The structure belongs to space group Pmmm (No. 47); the cell edges are 4.0130, 4.5986 and 6.0258 Å and the angles 90.00°, 90.00° and 90.00°. Symmetry generates all atoms from Al at (0.0000, 0.0000, 0.0000), Pb at (0.0000, 0.0000, 0.5000), Pb at (0.5000, 0.5000, 0.0000) and Se at (0.5000, 0.5000, 0.5000).

As for the total energy: -3.710 eV/atom. For the offset from the most stable computed form, the calculation gives 184.6 meV per atom. As for the magnetization: 0.00 μB per formula unit. Its uncorrected formation energy is -0.195 eV per formula unit.

4.
Density functional theory data (GGA-PBE) for a relaxed structure of AlPb2Se.

The structure belongs to space group I4/mmm (No. 139); the cell edges are 4.8421, 4.8421 and 9.0320 Å and the angles 90.00°, 90.00° and 90.00°. Symmetry generates all atoms from Al at (0.0000, 0.0000, 0.0000), Pb at (0.0000, 0.5000, 0.2500) and Se at (0.0000, 0.0000, 0.5000).

As for the total energy: -3.558 eV/atom. For the offset from the most stable computed form, the calculation gives 335.8 meV per atom. As for the magnetization: 0.00 μB per formula unit. Its uncorrected formation energy is 0.410 eV per formula unit.

5.
Density functional theory data (GGA-PBE) for a relaxed structure of AlPbSe.

The structure belongs to space group F-43m (No. 216); the cell edges are 7.1165, 7.1165 and 7.1165 Å and the angles 90.00°, 90.00° and 90.00°. Symmetry generates all atoms from Al at (0.0000, 0.0000, 0.0000), Pb at (0.2500, 0.2500, 0.2500) and Se at (0.0000, 0.0000, 0.5000).

As for the total energy: -3.356 eV/atom. For the offset from the most stable computed form, the calculation gives 608.8 meV per atom. As for the magnetization: 0.00 μB per formula unit. Its uncorrected formation energy is 0.868 eV per formula unit.

6.
Density functional theory data (GGA-PBE) for a relaxed structure of AlPb2Se.

The structure belongs to space group C2/m (No. 12); the cell edges are 7.5405, 7.5310 and 3.6476 Å and the angles 90.00°, 90.14° and 90.00°. Symmetry generates all atoms from Al at (0.0000, 0.0000, 0.0000), Pb at (0.2500, 0.2500, 0.5000) and Se at (0.0000, 0.5000, 0.0000).

As for the total energy: -3.639 eV/atom. For the offset from the most stable computed form, the calculation gives 255.3 meV per atom. As for the magnetization: 0.00 μB per formula unit. Its uncorrected formation energy is 0.088 eV per formula unit.

7.
Density functional theory data (GGA-PBE) for a relaxed structure of AlPb2Se.

The structure belongs to space group P4mm (No. 99); the cell edges are 3.4389, 3.4389 and 8.8240 Å and the angles 90.00°, 90.00° and 90.00°. Symmetry generates all atoms from Al at (0.0000, 0.0000, 0.0000), Pb at (0.0000, 0.0000, 0.5723), Pb at (0.5000, 0.5000, 0.2725) and Se at (0.5000, 0.5000, 0.8814).

As for the total energy: -3.749 eV/atom. For the offset from the most stable computed form, the calculation gives 145.6 meV per atom. As for the magnetization: 0.00 μB per formula unit. Its uncorrected formation energy is -0.351 eV per formula unit.

8.
Density functional theory data (GGA-PBE) for a relaxed structure of AlPb2Se.

The structure belongs to space group P2/m (No. 10); the cell edges are 4.0118, 3.9977 and 6.6272 Å and the angles 90.00°, 91.45° and 90.00°. Symmetry generates all atoms from Al at (0.0000, 0.0000, 0.0000), Pb at (0.4752, 0.5000, 0.2539) and Se at (0.0000, 0.0000, 0.5000).

As for the total energy: -3.595 eV/atom. For the offset from the most stable computed form, the calculation gives 299.4 meV per atom. As for the magnetization: 0.00 μB per formula unit. Its uncorrected formation energy is 0.264 eV per formula unit.

9.
Density functional theory data (GGA-PBE) for a relaxed structure of AlPb2Se.

The structure belongs to space group Pmmm (No. 47); the cell edges are 3.9808, 4.8739 and 5.4876 Å and the angles 90.00°, 90.00° and 90.00°. Symmetry generates all atoms from Al at (0.0000, 0.0000, 0.0000), Pb at (0.0000, 0.5000, 0.5000), Pb at (0.5000, 0.5000, 0.0000) and Se at (0.5000, 0.0000, 0.5000).

As for the total energy: -3.588 eV/atom. For the offset from the most stable computed form, the calculation gives 306.2 meV per atom. As for the magnetization: 0.00 μB per formula unit. Its uncorrected formation energy is 0.292 eV per formula unit.

10.
Density functional theory data (GGA-PBE) for a relaxed structure of AlPb2Se.

The structure belongs to space group Fm-3m (No. 225); the cell edges are 7.4628, 7.4628 and 7.4628 Å and the angles 90.00°, 90.00° and 90.00°. Symmetry generates all atoms from Al at (0.0000, 0.0000, 0.0000), Pb at (0.2500, 0.2500, 0.2500) and Se at (0.0000, 0.0000, 0.5000).

As for the total energy: -3.525 eV/atom. For the offset from the most stable computed form, the calculation gives 369.3 meV per atom. As for the magnetization: 0.00 μB per formula unit. Its uncorrected formation energy is 0.544 eV per formula unit.

11.
Density functional theory data (GGA-PBE) for a relaxed structure of AlPbSe.

The structure belongs to space group I4mm (No. 107); the cell edges are 3.5624, 3.5624 and 11.5634 Å and the angles 90.00°, 90.00° and 90.00°. Symmetry generates all atoms from Al at (0.0000, 0.0000, 0.0000), Pb at (0.0000, 0.0000, 0.3195) and Se at (0.0000, 0.0000, 0.5851).

As for the total energy: -3.827 eV/atom. For the offset from the most stable computed form, the calculation gives 137.6 meV per atom. As for the magnetization: 0.00 μB per formula unit. Its uncorrected formation energy is -0.546 eV per formula unit.

12.
Density functional theory data (GGA-PBE) for a relaxed structure of Al5Pb3Se12.

The structure belongs to space group Ia-3d (No. 230); the cell edges are 16.0733, 16.0733 and 16.0733 Å and the angles 90.00°, 90.00° and 90.00°. Symmetry generates all atoms from Al at (0.0000, 0.0000, 0.0000), Al at (0.0000, 0.2500, 0.3750), Pb at (0.0000, 0.2500, 0.1250) and Se at (0.0324, 0.0570, 0.6463).

As for the total energy: -4.142 eV/atom. As for the magnetization: 0.00 μB per formula unit. Its uncorrected formation energy is -11.190 eV per formula unit.